VASP calculation (PBE) on crystalline Rb2CuPd3F12 at its relaxed geometry.

Cell lengths 7.582, 7.582, 7.582 Å; angles 60.01, 60.01, 60.01 degrees
Each line ends with the local moment (μB).
Fractional coordinates of all 18 atoms:
Rb: 0.637 0.637 0.637  0.00
Rb: 0.363 0.363 0.363  0.00
Cu: 0.000 0.000 0.000  -0.62
Pd: 0.500 0.000 0.000  0.94
Pd: 0.000 0.500 0.000  0.94
Pd: 0.000 0.000 0.500  0.94
F: 0.333 0.333 0.928  0.12
F: 0.932 0.932 0.312  0.01
F: 0.312 0.932 0.932  0.01
F: 0.928 0.333 0.333  0.12
F: 0.932 0.312 0.932  0.01
F: 0.333 0.928 0.333  0.12
F: 0.667 0.667 0.072  0.12
F: 0.068 0.068 0.688  0.01
F: 0.688 0.068 0.068  0.01
F: 0.072 0.667 0.667  0.12
F: 0.068 0.688 0.068  0.01
F: 0.667 0.072 0.667  0.12

Summary:
Uncorrected formation energy = -30.19 eV/f.u.